1.
DFT (PBE-GGA) results for a relaxed structure of MnRhW2.

Values from the calculation:
Formation energy from the elements in eV per atom: 0.65

Cell lengths 3.6986, 3.6986, 9.8740 Å; angles 79.21, 79.21, 90.00 degrees
Closest atoms and distances in Å follow each position.
Atoms (fractional coordinates):
W: 0.3750 0.3847 0.7500  4 W 2.57-2.67, 2 Mn 2.70, 2 Rh 2.73
W: 0.6153 0.1250 0.2500  4 W 2.57-2.67, 2 Mn 2.70, 2 Rh 2.73
W: 0.1347 0.6250 0.2500  4 W 2.57-2.67, 2 Mn 2.70, 2 Rh 2.73
W: 0.8750 0.8653 0.7500  4 W 2.57-2.67, 2 Mn 2.70, 2 Rh 2.73
Rh: 0.7500 0.2500 0.5000  4 Mn 2.62, 4 W 2.73
Rh: 0.0000 0.0000 0.0000  4 Mn 2.62, 4 W 2.73
Mn: 0.2500 0.7500 0.5000  4 Rh 2.62, 4 W 2.70
Mn: 0.5000 0.5000 0.0000  4 Rh 2.62, 4 W 2.70

2.
DFT (PBE-GGA) results for a relaxed structure of MnRhW2.

Values from the calculation:
Formation energy from the elements in eV per atom: 0.04

Cell lengths 4.7778, 4.7778, 4.7778 Å; angles 132.45, 132.45, 69.53 degrees
Closest atoms and distances in Å follow each position.
Atoms (fractional coordinates):
W: 0.0000 0.0000 0.0000  4 W 2.72, 4 Mn 2.75, 4 Rh 2.75
W: 0.5000 0.5000 0.0000  4 W 2.72, 4 Mn 2.75, 4 Rh 2.75
Mn: 0.2500 0.7500 0.5000  4 Rh 2.72, 8 W 2.75
Rh: 0.7500 0.2500 0.5000  4 Mn 2.72, 8 W 2.75

3.
DFT (PBE-GGA) results for a relaxed structure of MnRhW2.

Values from the calculation:
Formation energy from the elements in eV per atom: 0.08

Cell lengths 2.7353, 2.7353, 7.9579 Å; angles 90.00, 90.00, 90.00 degrees
Closest atoms and distances in Å follow each position.
Atoms (fractional coordinates):
Mn: 0.0000 0.0000 0.5096  4 Rh 2.68, 4 Mn 2.74, 4 W 2.76
W: 0.0000 0.0000 0.9839  4 Rh 2.72, 8 W 2.74-2.94
W: 0.5000 0.5000 0.2629  8 W 2.74-2.94, 4 Mn 2.76
Rh: 0.5000 0.5000 0.7436  4 Mn 2.68, 4 W 2.72, 4 Rh 2.74

4.
DFT (PBE-GGA) results for a relaxed structure of Mn4RhW.

Values from the calculation:
Formation energy from the elements in eV per atom: -0.03

Cell lengths 4.6953, 4.6953, 4.6953 Å; angles 60.00, 60.00, 60.00 degrees
Closest atoms and distances in Å follow each position.
Atoms (fractional coordinates):
Mn: 0.6228 0.6228 0.6228  6 Mn 2.31-2.39
Mn: 0.1316 0.6228 0.6228  6 Mn 2.31-2.39
Mn: 0.6228 0.1316 0.6228  6 Mn 2.31-2.39
Mn: 0.6228 0.6228 0.1316  6 Mn 2.31-2.39
Rh: 0.2500 0.2500 0.2500  12 Mn 2.75, 4 W 2.88
W: 0.0000 0.0000 0.0000  12 Mn 2.76, 4 Rh 2.88

| no. | density of states at the Fermi level (states/eV per atom) |
| --- | --- |
| 1 | 0.763 |
| 2 | 0.749 |
| 3 | 0.776 |
| 4 | 1.255 |